(1)
Entry from the Alexandria database: a geometry-optimized Si2AsBr structure (GGA-PBE).

Results
The uncorrected formation energy is 1.9 eV/f.u. The space-group type is I4/mmm. The calculation puts the offset from the most stable computed form at 423.4 meV/atom. The calculation puts the density of states at the Fermi level at 1.61 states/eV per cell.

a = 4.7456 Å, b = 4.7456 Å, c = 4.7456 Å
α = 110.67°, β = 110.67°, γ = 107.10°
Sites, in units of the cell vectors:
Si1 0.0000 0.5000 0.5000
Si2 0.5000 0.0000 0.5000
As1 0.0000 0.0000 0.0000
Br1 0.5000 0.5000 0.0000



(2)
Entry from the Alexandria database: a geometry-optimized Re3TcNi structure (GGA-PBE).

Results
The space-group type is Pm-3m. The total energy comes out at -8.350 eV/atom. The calculation puts the density of states at the Fermi level at 6.81 states/eV per cell.

a = 4.6267 Å, b = 4.6267 Å, c = 4.6267 Å
α = 90.00°, β = 90.00°, γ = 90.00°
Sites, in units of the cell vectors:
Re1 0.0000 0.0000 0.5000
Re2 0.0000 0.5000 0.0000
Re3 0.5000 0.0000 0.0000
Tc1 0.0000 0.0000 0.0000
Ni1 0.5000 0.5000 0.5000



(3)
Entry from the Alexandria database: a geometry-optimized YHf2Fe structure (GGA-PBE).

Results
The space-group type is P4/mmm. The calculation puts the offset from the most stable computed form at 0.0 meV/atom. The calculation puts the density of states at the Fermi level at 5.72 states/eV per cell.

a = 3.2226 Å, b = 3.2226 Å, c = 8.1768 Å
α = 90.00°, β = 90.00°, γ = 90.00°
Sites, in units of the cell vectors:
Y1 0.0000 0.0000 0.0000
Hf1 0.5000 0.5000 0.3178
Hf2 0.5000 0.5000 0.6822
Fe1 0.0000 0.0000 0.5000



(4)
Entry from the Alexandria database: a geometry-optimized HfCdHg2Pb structure (GGA-PBE).

Results
The space-group type is P4/mmm. The total energy comes out at -2.134 eV/atom. The calculation puts the density of states at the Fermi level at 3.19 states/eV per cell.

a = 5.6526 Å, b = 5.6526 Å, c = 5.6456 Å
α = 90.00°, β = 90.00°, γ = 90.00°
Sites, in units of the cell vectors:
Hf1 0.0000 0.0000 0.0000
Cd1 0.5000 0.5000 0.0000
Hg1 0.0000 0.5000 0.5000
Hg2 0.5000 0.0000 0.5000
Pb1 0.0000 0.0000 0.5000



(5)
Entry from the Alexandria database: a geometry-optimized As2IrPt structure (GGA-PBE).

Results
The space-group type is R-3m. The calculation puts the offset from the most stable computed form at 142.7 meV/atom. The calculation puts the density of states at the Fermi level at 3.07 states/eV per cell.

a = 7.9699 Å, b = 7.9699 Å, c = 7.9699 Å
α = 22.55°, β = 22.55°, γ = 22.55°
Sites, in units of the cell vectors:
As1 0.2484 0.2484 0.2484
As2 0.7516 0.7516 0.7516
Ir1 0.5000 0.5000 0.5000
Pt1 0.0000 0.0000 0.0000



(6)
Entry from the Alexandria database: a geometry-optimized AgAs2Ru2 structure (GGA-PBE).

Results
The space-group type is P4/mbm. The calculation puts the offset from the most stable computed form at 0.0 meV/atom. The calculation puts the density of states at the Fermi level at 6.13 states/eV per cell.

a = 7.2787 Å, b = 7.2787 Å, c = 2.9727 Å
α = 90.00°, β = 90.00°, γ = 90.00°
Sites, in units of the cell vectors:
Ag1 0.0000 0.0000 0.0000
Ag2 0.5000 0.5000 0.0000
As1 0.1511 0.3489 0.5000
As2 0.3489 0.8489 0.5000
As3 0.6511 0.1511 0.5000
As4 0.8489 0.6511 0.5000
Ru1 0.1414 0.6414 0.0000
Ru2 0.3586 0.1414 0.0000
Ru3 0.6414 0.8586 0.0000
Ru4 0.8586 0.3586 0.0000